# meta-GGA SCAN LaHg2Cl, PBEsol geometry
# distance to the lowest polymorph of the same formula: 0 meV per atom
# raw formation energy: -985 meV/atom
data_LaHg2Cl
_symmetry_space_group_name_H-M 'P m m m'
_symmetry_Int_Tables_number 47
_cell_length_a 4.031
_cell_length_b 4.224
_cell_length_c 5.640
_cell_angle_alpha 90.00
_cell_angle_beta 90.00
_cell_angle_gamma 90.00
loop_
_symmetry_equiv_pos_as_xyz
'x,y,z'
'-x,-y,-z'
'-x,-y,z'
'x,y,-z'
'x,-y,-z'
'-x,y,z'
'-x,y,-z'
'x,-y,z'
loop_
_atom_site_label
_atom_site_fract_x
_atom_site_fract_y
_atom_site_fract_z
_atom_site_occupancy
La1 0.000 0.000 0.000 1
Hg1 0.000 0.500 0.500 1
Hg2 0.500 0.000 0.500 1
Cl1 0.500 0.500 0.000 1

---

# meta-GGA SCAN AlNiHg2, PBEsol geometry
# formation enthalpy at 0 K: 0.0845 eV/atom
data_AlNiHg2
_symmetry_space_group_name_H-M 'P 1 m 1'
_symmetry_Int_Tables_number 6
_cell_length_a 3.908
_cell_length_b 3.791
_cell_length_c 4.889
_cell_angle_alpha 90.00
_cell_angle_beta 104.54
_cell_angle_gamma 90.00
loop_
_symmetry_equiv_pos_as_xyz
'x,y,z'
'x,-y,z'
loop_
_atom_site_label
_atom_site_fract_x
_atom_site_fract_y
_atom_site_fract_z
_atom_site_occupancy
Al1 0.000 0.000 0.000 1
Ni1 0.887 0.500 0.699 1
Hg1 0.337 0.000 0.557 1
Hg2 0.558 0.500 0.141 1

---

# meta-GGA SCAN Ce4GdO9, PBEsol geometry
# raw formation energy: -3748 meV/atom
data_Ce4GdO9
_symmetry_space_group_name_H-M 'I m m 2'
_symmetry_Int_Tables_number 44
_cell_length_a 3.779
_cell_length_b 19.325
_cell_length_c 5.467
_cell_angle_alpha 90.00
_cell_angle_beta 90.00
_cell_angle_gamma 90.00
loop_
_symmetry_equiv_pos_as_xyz
'x,y,z'
'-x,-y,z'
'-x,y,z'
'x,-y,z'
'x+1/2,y+1/2,z+1/2'
'-x+1/2,-y+1/2,z+1/2'
'-x+1/2,y+1/2,z+1/2'
'x+1/2,-y+1/2,z+1/2'
loop_
_atom_site_label
_atom_site_fract_x
_atom_site_fract_y
_atom_site_fract_z
_atom_site_occupancy
Ce1 0.000 0.106 0.000 1
Ce2 0.000 0.301 0.006 1
Gd1 0.000 0.500 0.059 1
O1 0.000 0.000 0.777 1
O2 0.000 0.198 0.254 1
O3 0.000 0.202 0.756 1
O4 0.000 0.396 0.262 1
O5 0.000 0.415 0.757 1

---

# meta-GGA SCAN SrBe3Co, PBEsol geometry
# formation enthalpy at 0 K: 0.1970 eV/atom
data_SrBe3Co
_symmetry_space_group_name_H-M 'P m -3 m'
_symmetry_Int_Tables_number 221
_symmetry_space_group_name_Hall '-P 4 2 3'
_cell_length_a 4.200
_cell_length_b 4.200
_cell_length_c 4.200
_cell_angle_alpha 90.00
_cell_angle_beta 90.00
_cell_angle_gamma 90.00
loop_
_atom_site_label
_atom_site_fract_x
_atom_site_fract_y
_atom_site_fract_z
_atom_site_occupancy
Sr1 0.000 0.000 0.000 1
Be1 0.000 0.500 0.500 1
Co1 0.500 0.500 0.500 1

---

# meta-GGA SCAN CuTe2RhI, PBEsol geometry
# raw formation energy: 959 meV/atom
data_CuTe2RhI
_symmetry_space_group_name_H-M 'P 4/m m m'
_symmetry_Int_Tables_number 123
_symmetry_space_group_name_Hall '-P 4 2'
_cell_length_a 4.980
_cell_length_b 4.980
_cell_length_c 5.089
_cell_angle_alpha 90.00
_cell_angle_beta 90.00
_cell_angle_gamma 90.00
loop_
_atom_site_label
_atom_site_fract_x
_atom_site_fract_y
_atom_site_fract_z
_atom_site_occupancy
Cu1 0.000 0.000 0.000 1
Te1 0.000 0.500 0.000 1
Rh1 0.500 0.500 0.500 1
I1 0.000 0.000 0.500 1

---

# meta-GGA SCAN BeCd2Ni, PBEsol geometry
# formation enthalpy at 0 K: 0.2517 eV/atom
data_BeCd2Ni
_symmetry_space_group_name_H-M 'F -4 3 m'
_symmetry_Int_Tables_number 216
_symmetry_space_group_name_Hall 'F -4 2 3'
_cell_length_a 6.156
_cell_length_b 6.156
_cell_length_c 6.156
_cell_angle_alpha 90.00
_cell_angle_beta 90.00
_cell_angle_gamma 90.00
loop_
_atom_site_label
_atom_site_fract_x
_atom_site_fract_y
_atom_site_fract_z
_atom_site_occupancy
Be1 0.000 0.000 0.000 1
Cd1 0.000 0.000 0.500 1
Cd2 0.250 0.250 0.250 1
Ni1 0.250 0.250 0.750 1

---

# meta-GGA SCAN TlHg2Au, PBEsol geometry
# distance to the lowest polymorph of the same formula: 0 meV per atom
# formation enthalpy at 0 K: 0.0116 eV/atom
data_TlHg2Au
_symmetry_space_group_name_H-M 'P 1 m 1'
_symmetry_Int_Tables_number 6
_cell_length_a 3.972
_cell_length_b 4.170
_cell_length_c 5.899
_cell_angle_alpha 90.00
_cell_angle_beta 107.48
_cell_angle_gamma 90.00
loop_
_symmetry_equiv_pos_as_xyz
'x,y,z'
'x,-y,z'
loop_
_atom_site_label
_atom_site_fract_x
_atom_site_fract_y
_atom_site_fract_z
_atom_site_occupancy
Tl1 0.000 0.000 0.000 1
Hg1 0.326 0.500 0.611 1
Hg2 0.762 0.000 0.469 1
Au1 0.542 0.500 0.121 1

---

# meta-GGA SCAN Co2BiBP2O10, PBEsol geometry
# raw formation energy: -2001 meV/atom
data_Co2BiBP2O10
_symmetry_space_group_name_H-M 'P 1 21/m 1'
_symmetry_Int_Tables_number 11
_cell_length_a 5.011
_cell_length_b 11.238
_cell_length_c 6.408
_cell_angle_alpha 90.00
_cell_angle_beta 107.90
_cell_angle_gamma 90.00
loop_
_symmetry_equiv_pos_as_xyz
'x,y,z'
'-x,-y,-z'
'-x,y+1/2,-z'
'x,-y+1/2,z'
loop_
_atom_site_label
_atom_site_fract_x
_atom_site_fract_y
_atom_site_fract_z
_atom_site_occupancy
Co1 0.144 0.106 0.158 1
Bi1 0.254 0.750 0.560 1
B1 0.429 0.750 0.017 1
P1 0.300 0.063 0.713 1
O1 0.097 0.045 0.850 1
O2 0.137 0.750 0.861 1
O3 0.141 0.123 0.493 1
O4 0.378 0.250 0.112 1
O5 0.438 0.554 0.678 1
O6 0.452 0.644 0.159 1

---

# meta-GGA SCAN Sc2CrIn, PBEsol geometry
# formation enthalpy at 0 K: -0.2839 eV/atom
data_Sc2CrIn
_symmetry_space_group_name_H-M 'P 4/m m m'
_symmetry_Int_Tables_number 123
_symmetry_space_group_name_Hall '-P 4 2'
_cell_length_a 4.744
_cell_length_b 4.744
_cell_length_c 3.541
_cell_angle_alpha 90.00
_cell_angle_beta 90.00
_cell_angle_gamma 90.00
loop_
_atom_site_label
_atom_site_fract_x
_atom_site_fract_y
_atom_site_fract_z
_atom_site_occupancy
Sc1 0.000 0.500 0.000 1
Cr1 0.000 0.000 0.500 1
In1 0.500 0.500 0.500 1

---

# meta-GGA SCAN BaSiSb2, PBEsol geometry
# raw formation energy: 94 meV/atom
data_BaSiSb2
_symmetry_space_group_name_H-M 'F -4 3 m'
_symmetry_Int_Tables_number 216
_symmetry_space_group_name_Hall 'F -4 2 3'
_cell_length_a 7.673
_cell_length_b 7.673
_cell_length_c 7.673
_cell_angle_alpha 90.00
_cell_angle_beta 90.00
_cell_angle_gamma 90.00
loop_
_atom_site_label
_atom_site_fract_x
_atom_site_fract_y
_atom_site_fract_z
_atom_site_occupancy
Ba1 0.000 0.000 0.000 1
Si1 0.250 0.250 0.750 1
Sb1 0.000 0.000 0.500 1
Sb2 0.250 0.250 0.250 1

---

# meta-GGA SCAN InTc2Sb, PBEsol geometry
# distance to the lowest polymorph of the same formula: 86 meV per atom
# raw formation energy: 375 meV/atom
data_InTc2Sb
_symmetry_space_group_name_H-M 'R -3 m'
_symmetry_Int_Tables_number 166
_symmetry_space_group_name_Hall '-R 3 2"'
_cell_length_a 3.0833
_cell_length_b 3.0833
_cell_length_c 25.2510
_cell_angle_alpha 90.00
_cell_angle_beta 90.00
_cell_angle_gamma 120.00
loop_
_atom_site_label
_atom_site_fract_x
_atom_site_fract_y
_atom_site_fract_z
_atom_site_occupancy
In1 0.0000 0.0000 0.0000 1
Tc1 0.0000 0.0000 0.2464 1
Sb1 0.0000 0.0000 0.5000 1

---

# meta-GGA SCAN TiAg8S6, PBEsol geometry
# raw formation energy: -358 meV/atom
data_TiAg8S6
_symmetry_space_group_name_H-M 'P n a 21'
_symmetry_Int_Tables_number 33
_cell_length_a 14.908
_cell_length_b 7.377
_cell_length_c 10.294
_cell_angle_alpha 90.00
_cell_angle_beta 90.00
_cell_angle_gamma 90.00
loop_
_symmetry_equiv_pos_as_xyz
'x,y,z'
'-x,-y,z+1/2'
'-x+1/2,y+1/2,z+1/2'
'x+1/2,-y+1/2,z'
loop_
_atom_site_label
_atom_site_fract_x
_atom_site_fract_y
_atom_site_fract_z
_atom_site_occupancy
Ti1 0.127 0.235 0.000 1
Ag1 0.024 0.478 0.225 1
Ag2 0.033 0.722 0.997 1
Ag3 0.093 0.122 0.682 1
Ag4 0.098 0.085 0.318 1
Ag5 0.134 0.750 0.471 1
Ag6 0.224 0.518 0.288 1
Ag7 0.237 0.389 0.694 1
Ag8 0.248 0.062 0.504 1
S1 0.000 0.193 0.118 1
S2 0.108 0.762 0.234 1
S3 0.119 0.484 0.868 1
S4 0.125 0.971 0.889 1
S5 0.135 0.311 0.489 1
S6 0.248 0.239 0.138 1

---

# meta-GGA SCAN PtPbW2, PBEsol geometry
# formation enthalpy at 0 K: 0.6191 eV/atom
data_PtPbW2
_symmetry_space_group_name_H-M 'I 4/m m m'
_symmetry_Int_Tables_number 139
_symmetry_space_group_name_Hall '-I 4 2'
_cell_length_a 3.959
_cell_length_b 3.959
_cell_length_c 8.623
_cell_angle_alpha 90.00
_cell_angle_beta 90.00
_cell_angle_gamma 90.00
loop_
_atom_site_label
_atom_site_fract_x
_atom_site_fract_y
_atom_site_fract_z
_atom_site_occupancy
Pt1 0.000 0.000 0.000 1
Pb1 0.000 0.000 0.500 1
W1 0.000 0.500 0.250 1

---

# meta-GGA SCAN NaFeTe2I, PBEsol geometry
# raw formation energy: 851 meV/atom
data_NaFeTe2I
_symmetry_space_group_name_H-M 'P 4/m m m'
_symmetry_Int_Tables_number 123
_symmetry_space_group_name_Hall '-P 4 2'
_cell_length_a 5.375
_cell_length_b 5.375
_cell_length_c 5.598
_cell_angle_alpha 90.00
_cell_angle_beta 90.00
_cell_angle_gamma 90.00
loop_
_atom_site_label
_atom_site_fract_x
_atom_site_fract_y
_atom_site_fract_z
_atom_site_occupancy
Na1 0.000 0.000 0.000 1
Fe1 0.500 0.500 0.500 1
Te1 0.000 0.500 0.000 1
I1 0.000 0.000 0.500 1

---

# meta-GGA SCAN Mg3Os2, PBEsol geometry
# formation enthalpy at 0 K: 0.2269 eV/atom
data_Mg3Os2
_symmetry_space_group_name_H-M 'R -3 m'
_symmetry_Int_Tables_number 166
_symmetry_space_group_name_Hall '-R 3 2"'
_cell_length_a 2.8324
_cell_length_b 2.8324
_cell_length_c 34.4744
_cell_angle_alpha 90.00
_cell_angle_beta 90.00
_cell_angle_gamma 120.00
loop_
_atom_site_label
_atom_site_fract_x
_atom_site_fract_y
_atom_site_fract_z
_atom_site_occupancy
Mg1 0.0000 0.0000 0.0000 1
Mg2 0.0000 0.0000 0.2052 1
Os1 0.0000 0.0000 0.3979 1

---

# meta-GGA SCAN Ta2HgW, PBEsol geometry
# formation enthalpy at 0 K: 0.1231 eV/atom
data_Ta2HgW
_symmetry_space_group_name_H-M 'C m m m'
_symmetry_Int_Tables_number 65
_symmetry_space_group_name_Hall '-C 2 2'
_cell_length_a 3.310
_cell_length_b 4.574
_cell_length_c 9.276
_cell_angle_alpha 90.00
_cell_angle_beta 90.00
_cell_angle_gamma 90.00
loop_
_atom_site_label
_atom_site_fract_x
_atom_site_fract_y
_atom_site_fract_z
_atom_site_occupancy
Ta1 0.000 0.000 0.237 1
Hg1 0.000 0.500 0.500 1
W1 0.000 0.500 0.000 1

---

# meta-GGA SCAN BeInAg, PBEsol geometry
# formation enthalpy at 0 K: 0.3466 eV/atom
data_BeInAg
_symmetry_space_group_name_H-M 'F -4 3 m'
_symmetry_Int_Tables_number 216
_symmetry_space_group_name_Hall 'F -4 2 3'
_cell_length_a 6.073
_cell_length_b 6.073
_cell_length_c 6.073
_cell_angle_alpha 90.00
_cell_angle_beta 90.00
_cell_angle_gamma 90.00
loop_
_atom_site_label
_atom_site_fract_x
_atom_site_fract_y
_atom_site_fract_z
_atom_site_occupancy
Be1 0.000 0.000 0.000 1
In1 0.000 0.000 0.500 1
Ag1 0.250 0.250 0.250 1

---

# meta-GGA SCAN Na3CuO2, PBEsol geometry
# distance to the lowest polymorph of the same formula: 6 meV per atom
# raw formation energy: -1258 meV/atom
data_Na3CuO2
_symmetry_space_group_name_H-M 'P 1 21/c 1'
_symmetry_Int_Tables_number 14
_cell_length_a 5.763
_cell_length_b 8.673
_cell_length_c 7.715
_cell_angle_alpha 90.00
_cell_angle_beta 111.59
_cell_angle_gamma 90.00
loop_
_symmetry_equiv_pos_as_xyz
'x,y,z'
'-x,-y,-z'
'-x,y+1/2,-z+1/2'
'x,-y+1/2,z+1/2'
loop_
_atom_site_label
_atom_site_fract_x
_atom_site_fract_y
_atom_site_fract_z
_atom_site_occupancy
Na1 0.238 0.216 0.311 1
Na2 0.246 0.533 0.501 1
Na3 0.259 0.530 0.125 1
Cu1 0.295 0.678 0.828 1
O1 0.055 0.536 0.778 1
O2 0.470 0.178 0.116 1

---

# meta-GGA SCAN YTaAu2, PBEsol geometry
# formation enthalpy at 0 K: -0.0193 eV/atom
data_YTaAu2
_symmetry_space_group_name_H-M 'F -4 3 m'
_symmetry_Int_Tables_number 216
_symmetry_space_group_name_Hall 'F -4 2 3'
_cell_length_a 6.726
_cell_length_b 6.726
_cell_length_c 6.726
_cell_angle_alpha 90.00
_cell_angle_beta 90.00
_cell_angle_gamma 90.00
loop_
_atom_site_label
_atom_site_fract_x
_atom_site_fract_y
_atom_site_fract_z
_atom_site_occupancy
Y1 0.000 0.000 0.000 1
Ta1 0.250 0.250 0.250 1
Au1 0.000 0.000 0.500 1
Au2 0.250 0.250 0.750 1

---

# meta-GGA SCAN RbNbCr3, PBEsol geometry
# formation enthalpy at 0 K: 1.2905 eV/atom
data_RbNbCr3
_symmetry_space_group_name_H-M 'P m -3 m'
_symmetry_Int_Tables_number 221
_symmetry_space_group_name_Hall '-P 4 2 3'
_cell_length_a 4.943
_cell_length_b 4.943
_cell_length_c 4.943
_cell_angle_alpha 90.00
_cell_angle_beta 90.00
_cell_angle_gamma 90.00
loop_
_atom_site_label
_atom_site_fract_x
_atom_site_fract_y
_atom_site_fract_z
_atom_site_occupancy
Rb1 0.000 0.000 0.000 1
Nb1 0.500 0.500 0.500 1
Cr1 0.000 0.500 0.500 1

---

# meta-GGA SCAN PrCoSi, PBEsol geometry
# raw formation energy: -638 meV/atom
data_PrCoSi
_symmetry_space_group_name_H-M 'P 4/n m m'
_symmetry_Int_Tables_number 129
_cell_length_a 3.970
_cell_length_b 3.970
_cell_length_c 7.077
_cell_angle_alpha 90.00
_cell_angle_beta 90.00
_cell_angle_gamma 90.00
loop_
_symmetry_equiv_pos_as_xyz
'x,y,z'
'-x,-y,-z'
'-y+1/2,x,z'
'y+1/2,-x,-z'
'-x+1/2,-y+1/2,z'
'x+1/2,y+1/2,-z'
'y,-x+1/2,z'
'-y,x+1/2,-z'
'x+1/2,-y,-z'
'-x+1/2,y,z'
'-y,-x,-z'
'y,x,z'
'-x,y+1/2,-z'
'x,-y+1/2,z'
'y+1/2,x+1/2,-z'
'-y+1/2,-x+1/2,z'
loop_
_atom_site_label
_atom_site_fract_x
_atom_site_fract_y
_atom_site_fract_z
_atom_site_occupancy
Pr1 0.250 0.250 0.184 1
Co1 0.250 0.750 0.500 1
Si1 0.250 0.250 0.665 1